Computed, not measured: a relaxed structure of CsLa3Re at the PBE-GGA level of DFT.

a = 5.831 Å, b = 5.831 Å, c = 5.831 Å
α = 90.00°, β = 90.00°, γ = 90.00°
Fractional positions:
Cs: 0.000 0.000 0.000
La: 0.000 0.500 0.500
La: 0.500 0.000 0.500
La: 0.500 0.500 0.000
Re: 0.500 0.500 0.500

## Properties
The calculated formation energy is 1.875 eV per formula unit. The crystal system is cubic.